Record 1
PmPrThAl | PBE | optimized geometry

Cell lengths 5.4950, 5.4950, 5.4950 Å; angles 60.00, 60.00, 60.00 degrees
Sites, in units of the cell vectors:
Pr (0.7500, 0.7500, 0.7500)
Al (0.0000, 0.0000, 0.0000)
Th (0.2500, 0.2500, 0.2500)
Pm (0.5000, 0.5000, 0.5000)

Output
As for the density of states at the Fermi level: 5.23 states/eV/f.u. The value obtained for the energy is -20.6 eV per cell. The calculation puts the energy of formation at 21 meV per atom. The total magnetic moment is 0.0001 μB/atom.

Record 2
Pm3Pr3Al2Tl | PBE | optimized geometry

Cell lengths 3.7999, 9.0867, 9.0867 Å; angles 120.00, 90.00, 90.00 degrees
Sites, in units of the cell vectors:
Pm (0.0000, 0.6112, 0.6112)
Pm (0.0000, 0.0000, 0.3888)
Pm (0.0000, 0.3888, 0.0000)
Pr (0.5000, 0.7080, 0.0000)
Pr (0.5000, 0.0000, 0.7080)
Pr (0.5000, 0.2920, 0.2920)
Al (0.5000, 0.6667, 0.3333)
Al (0.5000, 0.3333, 0.6667)
Tl (0.0000, 0.0000, 0.0000)

Output
As for the density of states at the Fermi level: 8.15 states/eV/f.u. The value obtained for the energy is -40.3 eV per cell. The calculation puts the energy of formation at -210 meV per atom. The total magnetic moment is 0.0000 μB/atom.